DFT (PBE) results for DyTl2GaBr6 after structural relaxation.

Unit cell a=8.0324 b=8.0324 c=20.3464 alpha=90.00 beta=90.00 gamma=120.00
With the nearest neighbours (Å) after each atom.
Space group R3 (No. 146, hexagonal axes)
Inequivalent atoms, fractional coordinates:
Dy  0.0000  0.0000  0.0000  6 Br 2.80-2.84
Tl  0.0000  0.0000  0.2964  6 Br 3.37-3.39
Tl  0.0000  0.0000  0.7889  6 Br 3.40-3.41
Ga  0.0000  0.0000  0.5071  6 Br 3.07-3.23
Br  0.0132  0.4131  0.7413  1 Dy 2.80
Br  0.0825  0.7167  0.5812  1 Dy 2.84, 1 Ga 3.07

The value obtained for the total DFT energy (no corrections) is -3.45 eV per atom. Its density of states at the Fermi level is 0.00 states/eV per cell. The value obtained for the density is 4.9 Mg/m³. Its crystal system is trigonal.